Li2OsAu2: relaxed, PBE.

Summary:
Energy above the most stable polymorph in this dataset (eV per formula unit): 0.000
Size of the total moment (μB per cell): 0.000
Density of states at the Fermi level (states/eV/f.u.): 4.0
Calculated volume (Å³/f.u.): 71
Density (g/cm3): 13.9
Formation enthalpy at 0 K (meV per atom): 79

Geometry as CIF:
```
data_Li2OsAu2
_chemical_formula_sum 'Li4 Os2 Au4'
_cell_length_a 7.244
_cell_length_b 7.244
_cell_length_c 2.719
_cell_angle_alpha 90.00
_cell_angle_beta 90.00
_cell_angle_gamma 90.00
_symmetry_space_group_name_H-M 'P 4/m b m'
_symmetry_Int_Tables_number 127
_symmetry_space_group_name_Hall '-P 4 2ab'
loop_
_atom_site_label
_atom_site_fract_x
_atom_site_fract_y
_atom_site_fract_z
Li1 0.120 0.380 0.000
Os1 0.000 0.000 0.000
Au1 0.181 0.681 0.500
```